# 1
An optimized crystal structure of RbMnAlF6, computed with GGA+U.

```
RbMnAlF6
1.0
7.442 0.000 0.000
0.000 7.241 0.000
-3.721 -3.620 5.122
Rb Mn Al F
2 2 2 12
Direct
0.866 0.616 0.732 Rb
0.134 0.384 0.268 Rb
0.500 0.000 0.500 Mn
0.000 0.000 0.500 Mn
0.500 0.500 0.000 Al
0.500 0.000 0.000 Al
0.472 0.722 0.944 F
0.846 0.096 0.692 F
0.797 0.101 0.248 F
0.451 0.647 0.248 F
0.451 0.101 0.248 F
0.797 0.647 0.248 F
0.528 0.278 0.056 F
0.154 0.904 0.308 F
0.203 0.899 0.752 F
0.549 0.353 0.752 F
0.549 0.899 0.752 F
0.203 0.353 0.752 F
```

Summary:
N(E_F) ... 0.00 states/eV/f.u.


# 2
An optimized crystal structure of MnAlSnF6, computed with GGA+U.

```
MnAlSnF6
1.0
-3.583 1.497 -3.904
4.960 -1.931 -1.410
-3.963 -10.024 -0.208
Mn Al Sn F
2 2 2 12
Direct
0.333 0.667 0.250 Mn
0.667 0.333 0.750 Mn
0.667 0.333 0.250 Al
0.333 0.667 0.750 Al
0.000 0.000 0.000 Sn
0.000 0.000 0.500 Sn
0.645 0.600 0.154 F
0.955 0.355 0.154 F
0.355 0.955 0.654 F
0.045 0.645 0.846 F
0.400 0.355 0.346 F
0.955 0.600 0.346 F
0.600 0.955 0.846 F
0.645 0.045 0.346 F
0.045 0.400 0.654 F
0.400 0.045 0.154 F
0.600 0.645 0.654 F
0.355 0.400 0.846 F
```

Summary:
N(E_F) ... 2.93 states/eV/f.u.


# 3
An optimized crystal structure of SrMnAlF2, computed with GGA+U.

```
SrMnAlF2
1.0
4.307 0.000 0.000
0.000 5.504 0.000
0.000 0.000 4.307
Sr Mn Al F
1 1 1 2
Direct
0.500 0.500 0.500 Sr
0.000 0.500 0.000 Mn
0.000 0.000 0.000 Al
0.000 0.000 0.500 F
0.500 0.000 0.000 F
```

Summary:
N(E_F) ... 1.70 states/eV/f.u.


# 4
An optimized crystal structure of MnAl2TlF, computed with GGA+U.

```
MnAl2TlF
1.0
-2.510 -3.011 -2.496
-2.392 -1.144 3.784
-3.083 3.348 -0.938
Tl Mn Al F
1 1 2 1
Direct
0.500 0.500 0.500 Tl
0.000 0.500 0.000 Mn
0.000 0.000 0.500 Al
0.500 0.000 0.000 Al
0.000 0.000 0.000 F
```

Summary:
N(E_F) ... 2.19 states/eV/f.u.


# 5
An optimized crystal structure of MnAlTl2F6, computed with GGA+U.

```
MnAlTl2F6
1.0
-4.626 -0.146 -3.950
1.556 -5.678 -1.613
-5.131 -3.146 6.127
Mn Al Tl F
2 2 4 12
Direct
0.000 0.751 0.500 Mn
0.500 0.249 0.000 Mn
0.500 0.250 0.500 Al
0.000 0.750 0.000 Al
0.500 0.749 0.250 Tl
0.000 0.251 0.750 Tl
0.500 0.749 0.750 Tl
0.000 0.251 0.250 Tl
0.500 0.249 0.284 F
0.500 0.249 0.716 F
0.000 0.751 0.216 F
0.000 0.751 0.784 F
0.284 0.035 0.500 F
0.716 0.035 0.500 F
0.285 0.464 0.500 F
0.715 0.464 0.500 F
0.785 0.536 0.000 F
0.215 0.536 0.000 F
0.216 0.965 0.000 F
0.784 0.965 0.000 F
```

Summary:
N(E_F) ... 0.88 states/eV/f.u.


# 6
An optimized crystal structure of MnAl2TlF8, computed with GGA+U.

```
MnAl2TlF8
1.0
-3.547 -0.086 -4.268
-0.171 -4.400 -3.378
-7.152 -5.094 2.439
Mn Al Tl F
1 2 1 8
Direct
0.000 0.000 0.000 Mn
0.259 0.259 0.223 Al
0.741 0.741 0.777 Al
0.500 0.500 0.500 Tl
0.193 0.193 0.420 F
0.602 0.209 0.147 F
0.807 0.807 0.580 F
0.042 0.602 0.147 F
0.958 0.398 0.853 F
0.209 0.042 0.147 F
0.791 0.958 0.853 F
0.398 0.791 0.853 F
```

Summary:
N(E_F) ... 3.38 states/eV/f.u.


# 7
An optimized crystal structure of MnAlTlF6, computed with GGA+U.

```
MnAlTlF6
1.0
5.432 0.000 0.001
2.716 4.704 -0.001
0.000 0.000 5.954
Mn Al Tl F
1 1 1 6
Direct
0.667 0.667 0.500 Mn
0.333 0.333 0.500 Al
0.000 0.000 0.000 Tl
0.042 0.360 0.324 F
0.360 0.042 0.676 F
0.598 0.360 0.676 F
0.042 0.598 0.676 F
0.360 0.598 0.324 F
0.598 0.042 0.324 F
```

Summary:
N(E_F) ... 0.00 states/eV/f.u.


# 8
An optimized crystal structure of MnAlTlF2, computed with GGA+U.

```
MnAlTlF2
1.0
4.058 0.000 0.000
0.000 4.058 0.000
0.000 0.000 6.767
Tl Mn Al F
1 1 1 2
Direct
0.000 0.000 0.500 Tl
0.000 0.000 0.000 Mn
0.500 0.500 0.500 Al
0.000 0.500 0.000 F
0.500 0.000 0.000 F
```

Summary:
N(E_F) ... 1.99 states/eV/f.u.


# 9
An optimized crystal structure of YMn2AlF, computed with GGA+U.

```
YMn2AlF
1.0
5.884 0.000 0.000
0.000 4.167 0.000
0.000 0.000 5.884
Y Mn Al F
1 2 1 1
Direct
0.000 0.000 0.000 Y
0.000 0.000 0.500 Mn
0.500 0.000 0.000 Mn
0.500 0.500 0.500 Al
0.000 0.500 0.000 F
```

Summary:
N(E_F) ... 4.12 states/eV/f.u.


# 10
An optimized crystal structure of Al3MoF, computed with GGA+U.

```
Al3MoF
1.0
5.059 0.000 0.000
0.000 5.059 0.000
0.000 0.000 5.059
Mo Al F
1 3 1
Direct
0.000 0.000 0.000 Mo
0.000 0.500 0.000 Al
0.000 0.000 0.500 Al
0.500 0.000 0.000 Al
0.500 0.500 0.500 F
```

Summary:
N(E_F) ... 3.67 states/eV/f.u.
Distance to the lowest polymorph of the same formula ... 3.419 eV/f.u.


# 11
An optimized crystal structure of AlMoF, computed with GGA+U.

```
AlMoF
1.0
-1.486 3.786 -0.305
-2.709 -1.297 -2.897
-7.709 -2.360 8.264
Mo Al F
4 4 4
Direct
0.000 0.000 0.938 Mo
0.000 0.500 0.438 Mo
0.500 0.000 0.438 Mo
0.500 0.500 0.938 Mo
0.000 0.000 0.283 Al
0.000 0.500 0.783 Al
0.500 0.000 0.783 Al
0.500 0.500 0.283 Al
0.000 0.000 0.130 F
0.000 0.500 0.630 F
0.500 0.000 0.630 F
0.500 0.500 0.130 F
```

Summary:
N(E_F) ... 0.19 states/eV/f.u.
Distance to the lowest polymorph of the same formula ... 0.572 eV/f.u.


# 12
An optimized crystal structure of AlMoF, computed with GGA+U.

```
AlMoF
1.0
-3.657 -5.221 -4.003
-0.544 -1.690 2.702
-5.221 6.946 3.294
Mo Al F
4 4 4
Direct
0.185 0.000 0.180 Mo
0.185 0.500 0.680 Mo
0.515 0.000 0.857 Mo
0.515 0.500 0.357 Mo
0.741 0.000 0.268 Al
0.741 0.500 0.768 Al
0.403 0.000 0.543 Al
0.403 0.500 0.043 Al
0.818 0.000 0.108 F
0.818 0.500 0.608 F
0.991 0.000 0.416 F
0.991 0.500 0.916 F
```

Summary:
N(E_F) ... 1.00 states/eV/f.u.
Distance to the lowest polymorph of the same formula ... 0.573 eV/f.u.


| no. | V (Å³/cell) | electronic total energy (eV per atom) |
| --- | --- | --- |
| 1 | 276 | -5.757 |
| 2 | 283 | -5.549 |
| 3 | 102 | -4.446 |
| 4 | 100 | -3.975 |
| 5 | 319 | -5.112 |
| 6 | 228 | -5.517 |
| 7 | 152 | -5.659 |
| 8 | 111 | -4.597 |
| 9 | 144 | -5.311 |
| 10 | 129 | -3.465 |
| 11 | 196 | -4.918 |
| 12 | 204 | -4.918 |